Here is crystalline MgCl3 at its relaxed geometry from the Alexandria database. Energies are from PBE.

Properties
Density, g cm⁻³: 2.3
E_form (uncorrected), meV/atom: -712
Space group: Cmmm (65)
Fermi-level density of states, states/eV per atom: 0.56

Lattice parameters (Å, degrees): 4.625 4.625 4.837 90.00 90.00 115.03
Fractional coordinates of all 4 atoms:
Mg 0.000 0.000 0.000
Cl 0.000 0.500 0.500
Cl 0.500 0.000 0.500
Cl 0.500 0.500 0.000

=====

Here is crystalline MgCl at its relaxed geometry from the Alexandria database. Energies are from PBE.

Properties
Density, g cm⁻³: 2.0
E_form (uncorrected), meV/atom: -1034
Space group: P6_3/mmc (194)
Fermi-level density of states, states/eV per atom: 0.38

Lattice parameters (Å, degrees): 7.965 7.965 5.474 90.00 90.00 120.00
Fractional coordinates of all 12 atoms:
Mg 0.205 0.410 0.250
Mg 0.205 0.795 0.250
Mg 0.410 0.205 0.750
Mg 0.590 0.795 0.250
Mg 0.795 0.205 0.750
Mg 0.795 0.590 0.750
Cl 0.164 0.328 0.750
Cl 0.164 0.836 0.750
Cl 0.328 0.164 0.250
Cl 0.672 0.836 0.750
Cl 0.836 0.164 0.250
Cl 0.836 0.672 0.250